(1)
Compound: MgZrP2
Source: Alexandria
Functional: PBE
Structure: relaxed

Structure (POSCAR):
```
MgZrP2
1.0
4.7429 -0.0132 -0.0151
0.1954 4.7389 0.0151
-1.8834 -2.9749 3.1778
P Zr Mg
2 1 1
Direct
0.4893 0.4893 0.0000 P
0.0107 0.0107 0.0000 P
0.7500 0.2500 0.5000 Zr
0.2500 0.7500 0.5000 Mg
```

Computed properties:
Raw total energy = -5.746 eV/atom

=====

(2)
Compound: MgZr2P
Source: Alexandria
Functional: PBE
Structure: relaxed

Structure (POSCAR):
```
MgZr2P
1.0
-2.4773 -0.6281 -1.9242
-1.8246 -0.6237 2.5526
-2.2151 7.7705 0.3152
Mg Zr P
1 2 1
Direct
0.5000 0.5000 0.2500 Mg
0.0000 0.0000 0.5577 Zr
0.0000 0.0000 0.9423 Zr
0.5000 0.5000 0.7500 P
```

Computed properties:
Raw total energy = -6.456 eV/atom
Polymorph energy (0 for the lowest one) = 200 meV/atom

=====

(3)
Compound: Mg2ZrP
Source: Alexandria
Functional: PBE
Structure: relaxed

Structure (POSCAR):
```
Mg2ZrP
1.0
-2.9904 -3.9520 -1.1197
0.0520 -4.2365 -2.8042
1.1412 -4.6107 2.8399
Mg Zr P
2 1 1
Direct
0.0090 0.0090 0.0090 Mg
0.8019 0.8019 0.7537 Mg
0.1997 0.1997 0.3654 Zr
0.4895 0.4895 0.3719 P
```

Computed properties:
Raw total energy = -4.645 eV/atom

=====

(4)
Compound: MgZr2P
Source: Alexandria
Functional: PBE
Structure: relaxed

Structure (POSCAR):
```
MgZr2P
1.0
3.4045 0.4054 0.0000
-0.4065 3.4044 0.0000
0.0000 0.0000 7.4326
P Mg Zr
1 1 2
Direct
0.5000 0.5000 0.8113 P
0.0000 0.0000 0.5243 Mg
0.5000 0.5000 0.2170 Zr
0.0000 0.0000 0.9474 Zr
```

Computed properties:
Raw total energy = -6.392 eV/atom
Polymorph energy (0 for the lowest one) = 264 meV/atom